No. 1
PrPaIr after structural relaxation, computed with PBE.

N(E_F): 1.247 states/eV per atom
Distance to the lowest polymorph of the same formula: 0.00 kcal/mol of atoms
DFT formation energy: -0.47 eV per atom
Theoretical density: 12515 kg/m³
Total energy: -0.3006 Ha/atom
Space-group type: No. 107

a = 3.627 Å, b = 3.627 Å, c = 6.240 Å
α = 106.90°, β = 106.90°, γ = 90.00°
Sites, in units of the cell vectors:
Ir: 0.700 0.700 0.400
Pa: 0.298 0.298 0.596
Pr: 0.002 0.002 0.004

No. 2
PdAuI2 after structural relaxation, computed with PBE.

N(E_F): 0.904 states/eV per atom
Distance to the lowest polymorph of the same formula: 0.17 kcal/mol of atoms
Theoretical density: 7091 kg/m³
Total energy: -0.1035 Ha/atom
Space-group type: No. 166
E_form (uncorrected): 0.076 eV/atom

a = 4.305 Å, b = 4.305 Å, c = 8.502 Å
α = 75.33°, β = 75.33°, γ = 60.00°
Sites, in units of the cell vectors:
Pd: 0.500 0.500 0.500
Au: 0.000 0.000 0.000
I: 0.106 0.106 0.681
I: 0.894 0.894 0.319

No. 3
K2CoPt after structural relaxation, computed with PBE.

N(E_F): 0.407 states/eV per atom
Distance to the lowest polymorph of the same formula: 0.00 kcal/mol of atoms
DFT formation energy: 0.18 eV per atom
Theoretical density: 4014 kg/m³
Total energy: -0.1342 Ha/atom
Space-group type: No. 8

a = 4.150 Å, b = 4.150 Å, c = 9.440 Å
α = 79.26°, β = 79.26°, γ = 59.95°
Last column: magnetic moment on the atom in μB.
Sites, in units of the cell vectors:
Pt: 0.542 0.542 0.375  0.28
K: 0.948 0.948 0.117  -0.01
K: 0.802 0.802 0.633  -0.01
Co: 0.208 0.208 0.375  1.61

No. 4
HfTe2OsI after structural relaxation, computed with PBE.

N(E_F): 1.494 states/eV per atom
Distance to the lowest polymorph of the same formula: 0.00 kcal/mol of atoms
Theoretical density: 8792 kg/m³
Total energy: -0.1791 Ha/atom
Space-group type: No. 123
E_form (uncorrected): 0.931 eV/atom

a = 5.198 Å, b = 5.198 Å, c = 5.248 Å
α = 90.00°, β = 90.00°, γ = 90.00°
Sites, in units of the cell vectors:
Hf: 0.500 0.500 0.500
Te: 0.500 0.000 0.000
Te: 0.000 0.500 0.000
I: 0.000 0.000 0.500
Os: 0.000 0.000 0.000

No. 5
Pm4NdPd2 after structural relaxation, computed with PBE.

N(E_F): 1.057 states/eV per atom
Distance to the lowest polymorph of the same formula: 0.00 kcal/mol of atoms
DFT formation energy: -0.37 eV per atom
Theoretical density: 7626 kg/m³
Total energy: -0.1929 Ha/atom
Space-group type: No. 1

a = 7.921 Å, b = 7.237 Å, c = 9.131 Å
α = 126.85°, β = 94.96°, γ = 96.58°
Sites, in units of the cell vectors:
Pm: 0.360 0.572 0.216
Pm: 0.017 0.175 0.645
Pm: 0.836 0.509 0.127
Pm: 0.817 0.036 0.200
Pm: 0.431 0.663 0.869
Pm: 0.467 0.094 0.734
Pm: 0.354 0.143 0.348
Pm: 0.707 0.643 0.560
Nd: 0.093 0.021 0.944
Nd: 0.113 0.579 0.526
Pd: 0.656 0.969 0.436
Pd: 0.105 0.675 0.010
Pd: 0.539 0.189 0.101
Pd: 0.753 0.481 0.782

No. 6
ZrTiCl3 after structural relaxation, computed with PBE.

N(E_F): 1.203 states/eV per atom
Distance to the lowest polymorph of the same formula: 22.86 kcal/mol of atoms
Theoretical density: 3528 kg/m³
Total energy: -0.1748 Ha/atom
Space-group type: No. 221
E_form (uncorrected): -0.360 eV/atom

a = 4.870 Å, b = 4.870 Å, c = 4.870 Å
α = 90.00°, β = 90.00°, γ = 90.00°
Last column: magnetic moment on the atom in μB.
Sites, in units of the cell vectors:
Ti: 0.000 0.000 0.000  1.65
Cl: 0.000 0.500 0.000  0.00
Cl: 0.000 0.000 0.500  -0.01
Cl: 0.500 0.000 0.000  0.01
Zr: 0.500 0.500 0.500  1.79

> The lowest theoretical density belongs to which entry?

ZrTiCl3

> Which formula does entry 2 have?

PdAuI2

What did the third record say?
K2CoPt after structural relaxation, computed with PBE.

N(E_F): 0.407 states/eV per atom
Distance to the lowest polymorph of the same formula: 0.00 kcal/mol of atoms
DFT formation energy: 0.18 eV per atom
Theoretical density: 4014 kg/m³
Total energy: -0.1342 Ha/atom
Space-group type: No. 8

a = 4.150 Å, b = 4.150 Å, c = 9.440 Å
α = 79.26°, β = 79.26°, γ = 59.95°
Last column: magnetic moment on the atom in μB.
Sites, in units of the cell vectors:
Pt: 0.542 0.542 0.375  0.28
K: 0.948 0.948 0.117  -0.01
K: 0.802 0.802 0.633  -0.01
Co: 0.208 0.208 0.375  1.61